Entry 1:
Below is a relaxed structure of Tc2Ni6Pd, with properties calculated at the GGA-PBE level.

a b c (Å): 12.1513 9.4648 4.0744
angles (deg): 90.00 90.00 90.00
With the nearest neighbours (Å) after each atom.
Space group Cmcm (No. 63)
One atom of each set of equivalent atoms:
1 Tc 0.1841 0.0730 0.2500 (multiplicity 8)  8 Ni 2.44-2.67, 2 Tc 2.46
2 Ni 0.0953 0.1786 0.7500 (multiplicity 8)  3 Ni 2.32-2.43, 2 Tc 2.51
3 Ni 0.1082 0.4345 0.7500 (multiplicity 8)  7 Ni 2.38-2.63, 1 Tc 2.53
4 Ni 0.2056 0.3294 0.2500 (multiplicity 8)  4 Ni 2.42-2.56, 4 Tc 2.44-2.67, 1 Pd 2.51
5 Pd 0.0000 0.3033 0.2500 (multiplicity 4)  12 Ni 2.51-2.81

Values from the calculation:
E_tot   -6.5108 eV per atom

=====

Entry 2:
Below is a relaxed structure of Tc2Ni8Pd, with properties calculated at the GGA-PBE level.

a b c (Å): 13.1225 3.6084 5.7496
angles (deg): 90.00 105.06 90.00
With the nearest neighbours (Å) after each atom.
Space group C2/m (No. 12)
One atom of each set of equivalent atoms:
1 Tc 0.2275 0.0000 0.1347 (multiplicity 4)  10 Ni 2.54-2.60, 2 Tc 2.55
2 Ni 0.0475 0.0000 0.2211 (multiplicity 4)  9 Ni 2.50-2.63, 1 Tc 2.54, 2 Pd 2.60
3 Ni 0.0892 0.5000 0.9601 (multiplicity 4)  8 Ni 2.50-2.59, 3 Tc 2.57-2.60, 1 Pd 2.60
4 Ni 0.1384 0.0000 0.6839 (multiplicity 4)  7 Ni 2.54-2.63, 3 Tc 2.55, 2 Pd 2.58
5 Ni 0.1835 0.5000 0.4125 (multiplicity 4)  8 Ni 2.53-2.57, 3 Tc 2.56-2.57, 1 Pd 2.58
6 Pd 0.0000 0.5000 0.5000 (multiplicity 2)  12 Ni 2.58-2.60

Values from the calculation:
E_tot   -6.5539 eV per atom

=====

Entry 3:
Below is a relaxed structure of TcNi8Pd2, with properties calculated at the GGA-PBE level.

a b c (Å): 11.7329 4.2088 6.4463
angles (deg): 90.00 123.17 90.00
With the nearest neighbours (Å) after each atom.
Space group C2/m (No. 12)
One atom of each set of equivalent atoms:
1 Tc 0.0000 0.0000 0.0000 (multiplicity 2)  8 Ni 2.46-2.52, 2 Pd 2.76
2 Ni 0.0439 0.5000 0.7293 (multiplicity 4)  7 Ni 2.41-2.54, 1 Pd 2.51
3 Ni 0.0801 0.0000 0.4419 (multiplicity 4)  5 Ni 2.37-2.59, 1 Tc 2.46, 3 Pd 2.56-2.59
4 Ni 0.1294 0.5000 0.1656 (multiplicity 4)  4 Ni 2.41-2.59, 2 Tc 2.47, 3 Pd 2.56-2.60
5 Ni 0.1784 0.0000 0.8962 (multiplicity 4)  7 Ni 2.49-2.59, 1 Tc 2.52, 1 Pd 2.57
6 Pd 0.2255 0.5000 0.6364 (multiplicity 4)  9 Ni 2.51-2.72, 1 Tc 2.76

Values from the calculation:
E_tot   -5.9755 eV per atom

=====

Entry 4:
Below is a relaxed structure of TcNi4Pd, with properties calculated at the GGA-PBE level.

a b c (Å): 6.6375 6.6375 6.6375
angles (deg): 90.00 90.00 90.00
With the nearest neighbours (Å) after each atom.
Space group F-43m (No. 216)
One atom of each set of equivalent atoms:
1 Tc 0.0000 0.0000 0.0000 (multiplicity 4)  12 Ni 2.75, 4 Pd 2.87
2 Ni 0.1252 0.1252 0.6252 (multiplicity 16)  6 Ni 2.34-2.35
3 Pd 0.2500 0.2500 0.2500 (multiplicity 4)  12 Ni 2.75, 4 Tc 2.87

Values from the calculation:
E_tot   -6.3565 eV per atom

=====

Entry 5:
Below is a relaxed structure of TcNiPd2, with properties calculated at the GGA-PBE level.

a b c (Å): 2.6993 2.6993 7.6820
angles (deg): 90.00 90.00 90.00
With the nearest neighbours (Å) after each atom.
Space group P4mm (No. 99)
One atom of each set of equivalent atoms:
1 Tc 0.0000 0.0000 0.0000 (multiplicity 1)  4 Ni 2.56, 4 Tc 2.70, 4 Pd 2.75
2 Ni 0.5000 0.5000 0.7774 (multiplicity 1)  4 Tc 2.56, 4 Pd 2.67, 4 Ni 2.70
3 Pd 0.0000 0.0000 0.5344 (multiplicity 1)  4 Ni 2.67, 8 Pd 2.70-2.85
4 Pd 0.5000 0.5000 0.2580 (multiplicity 1)  8 Pd 2.70-2.85, 4 Tc 2.75

Values from the calculation:
Energy above the most stable polymorph in this dataset   0.0 meV/atom
E_tot   -6.6515 eV per atom

=====

Entry 6:
Below is a relaxed structure of TcNiPd3, with properties calculated at the GGA-PBE level.

a b c (Å): 4.7288 4.7288 4.7288
angles (deg): 90.00 90.00 90.00
With the nearest neighbours (Å) after each atom.
Space group Pm-3m (No. 221)
One atom of each set of equivalent atoms:
1 Tc 0.0000 0.0000 0.0000 (multiplicity 1)  6 Pd 2.36
2 Ni 0.5000 0.5000 0.5000 (multiplicity 1)  12 Pd 3.34
3 Pd 0.0000 0.0000 0.5000 (multiplicity 3)  2 Tc 2.36

Values from the calculation:
E_tot   -4.8612 eV per atom

=====

Entry 7:
Below is a relaxed structure of TcNiPd, with properties calculated at the GGA-PBE level.

a b c (Å): 2.6933 2.6933 11.2168
angles (deg): 90.00 90.00 90.00
With the nearest neighbours (Å) after each atom.
Space group I4mm (No. 107)
One atom of each set of equivalent atoms:
1 Tc 0.0000 0.0000 0.0000 (multiplicity 2)  4 Ni 2.55, 4 Tc 2.69, 4 Pd 2.77
2 Ni 0.0000 0.0000 0.6507 (multiplicity 2)  4 Tc 2.55, 4 Ni 2.69, 4 Pd 2.70
3 Pd 0.0000 0.0000 0.3213 (multiplicity 2)  4 Pd 2.69, 4 Ni 2.70, 4 Tc 2.77

Values from the calculation:
Energy above the most stable polymorph in this dataset   0.0 meV/atom
E_tot   -7.0974 eV per atom

=====

Entry 8:
Below is a relaxed structure of TcNiPd2, with properties calculated at the GGA-PBE level.

a b c (Å): 2.7425 2.7425 26.1185
angles (deg): 90.00 90.00 120.00
With the nearest neighbours (Å) after each atom.
Space group R3m (No. 160, hexagonal axes)
One atom of each set of equivalent atoms:
1 Tc 0.0000 0.0000 0.0000 (multiplicity 3)  6 Pd 2.73, 6 Tc 2.74
2 Ni 0.0000 0.0000 0.1664 (multiplicity 3)  6 Pd 2.65-2.66, 6 Ni 2.74
3 Pd 0.0000 0.0000 0.5816 (multiplicity 3)  3 Ni 2.66, 3 Tc 2.73, 6 Pd 2.74
4 Pd 0.0000 0.0000 0.7516 (multiplicity 3)  3 Ni 2.65, 3 Tc 2.73, 6 Pd 2.74

Values from the calculation:
Energy above the most stable polymorph in this dataset   112.1 meV/atom
E_tot   -6.5394 eV per atom